A geometry-optimized TbEu2Al structure, computed with PBE.

The space group is P4/mmm (No. 123) and the conventional cell measures 3.7479, 3.7479 and 8.9522 Å, with angles of 90.00, 90.00 and 90.00 degrees. The asymmetric unit holds Tb at (0.0000, 0.0000, 0.0000), Eu at (0.5000, 0.5000, 0.2913) and Al at (0.0000, 0.0000, 0.5000).

For the total magnetization, the calculation gives 14.96 μB per cell. The formation energy is -0.12 eV/f.u.